Below is PbS2I after structural relaxation, with properties calculated at the GGA-PBE level.

symmetry	No. 2
E_form (uncorrected)	-0.270	eV/atom

abc: 4.564 7.784 11.258
angles: 80.69 56.55 56.64
Element x y z (fractional)
Pb1 0.258 0.324 0.304
Pb2 0.741 0.849 0.696
S1 0.140 0.735 0.857
S2 0.860 0.437 0.143
S3 0.616 0.953 0.045
S4 0.385 0.220 0.955
I1 0.338 0.360 0.585
I2 0.662 0.813 0.415



Below is SrRePt after structural relaxation, with properties calculated at the GGA-PBE level.

symmetry	No. 187
E_form	595.1	meV per atom

abc: 4.895 4.895 2.852
angles: 90.00 90.00 120.00
Element x y z (fractional)
Pt1 0.000 0.000 0.167
Re1 0.333 0.667 0.167
Sr1 0.667 0.333 0.667



Below is MnAgSe2 after structural relaxation, with properties calculated at the GGA-PBE level.

symmetry	No. 38
E_form (uncorrected)	-0.187	eV/atom

abc: 5.137 4.302 4.298
angles: 72.44 90.00 90.00
Last column: magnetic moment on the atom in μB.
Element x y z (fractional)
Ag1 0.000 0.485 0.485  0.00
Mn1 0.500 0.761 0.762  4.14
Se1 0.000 0.873 0.872  -0.03
Se2 0.500 0.380 0.381  0.00



Copy entry 1 word for word.
Below is PbS2I after structural relaxation, with properties calculated at the GGA-PBE level.

symmetry	No. 2
E_form (uncorrected)	-0.270	eV/atom

abc: 4.564 7.784 11.258
angles: 80.69 56.55 56.64
Element x y z (fractional)
Pb1 0.258 0.324 0.304
Pb2 0.741 0.849 0.696
S1 0.140 0.735 0.857
S2 0.860 0.437 0.143
S3 0.616 0.953 0.045
S4 0.385 0.220 0.955
I1 0.338 0.360 0.585
I2 0.662 0.813 0.415